A relaxed structure of Hg2Pb3Au2. Source: Alexandria, functional PBE-GGA.

Cell lengths 3.8080, 5.9944, 8.9144 Å; angles 71.55, 80.07, 76.10 degrees
With the nearest neighbours (Å) after each atom.
Element x y z (fractional)
Hg 0.2446 0.1947 0.3839  1 Au 2.89, 1 Hg 3.11, 2 Pb 3.14-3.18
Hg 0.7554 0.8053 0.6161  1 Au 2.89, 1 Hg 3.11, 2 Pb 3.14-3.18
Pb 0.2859 0.3045 0.7056  2 Au 2.98-3.02, 2 Hg 3.14-3.18
Pb 0.5000 0.5000 0.0000  4 Au 3.02-3.12
Pb 0.7141 0.6955 0.2944  2 Au 2.98-3.02, 2 Hg 3.14-3.18
Au 0.1387 0.0702 0.1090  1 Au 2.79, 1 Hg 2.89, 4 Pb 2.98-3.12
Au 0.8613 0.9298 0.8910  1 Au 2.79, 1 Hg 2.89, 4 Pb 2.98-3.12

M_tot	0.00	μB per cell
final energy	-18.3	eV for the cell shown
crystal system	triclinic
formation enthalpy at 0 K	0	meV/atom